Version w
The following is a PBE-GGA calculation of a relaxed RbAl3B crystal, from Alexandria via LeMat-Bulk.

Cell: 6.0222 6.0222 6.0222 Å, 90.00 90.00 90.00°
Fractional coordinates of all 5 atoms:
1 Rb 0.0000 0.0000 0.0000
2 Al 0.0000 0.0000 0.5000
3 Al 0.0000 0.5000 0.0000
4 Al 0.5000 0.0000 0.0000
5 B 0.5000 0.5000 0.5000

***

Version x
The following is a PBE-GGA calculation of a relaxed RbAl3B crystal, from Alexandria via LeMat-Bulk.

Cell: 4.7416 4.7416 4.7416 Å, 90.00 90.00 90.00°
Fractional coordinates of all 5 atoms:
1 Rb 0.0000 0.0000 0.0000
2 Al 0.0000 0.5000 0.5000
3 Al 0.5000 0.0000 0.5000
4 Al 0.5000 0.5000 0.0000
5 B 0.5000 0.5000 0.5000

***

Energy above the most stable structure, in meV/atom: version w 1816; version x 0

***

Version w
The following is a PBE-GGA calculation of a relaxed AlRe2B crystal, from Alexandria via LeMat-Bulk.

Cell: 4.1364 4.1364 4.1364 Å, 60.00 60.00 60.00°
Fractional coordinates of all 4 atoms:
1 Al 0.0000 0.0000 0.0000
2 Re 0.2500 0.2500 0.2500
3 Re 0.7500 0.7500 0.7500
4 B 0.5000 0.5000 0.5000

***

Version x
The following is a PBE-GGA calculation of a relaxed AlRe2B crystal, from Alexandria via LeMat-Bulk.

Cell: 8.7475 8.7475 8.7475 Å, 154.88 154.88 35.82°
Fractional coordinates of all 8 atoms:
1 Al 0.0000 0.0000 0.0000
2 Al 0.7500 0.2500 0.5000
3 Re 0.1890 0.6250 0.0640
4 Re 0.3750 0.4390 0.5640
5 Re 0.5610 0.1250 0.9360
6 Re 0.8750 0.8110 0.4360
7 B 0.2500 0.7500 0.5000
8 B 0.5000 0.5000 0.0000

***

Energy above the most stable structure, in meV/atom: version w 0; version x 250

***

Version w
The following is a PBE-GGA calculation of a relaxed Al3ReB crystal, from Alexandria via LeMat-Bulk.

Cell: 4.1175 4.1175 4.1175 Å, 90.00 90.00 90.00°
Fractional coordinates of all 5 atoms:
1 Al 0.0000 0.0000 0.5000
2 Al 0.0000 0.5000 0.0000
3 Al 0.5000 0.0000 0.0000
4 Re 0.5000 0.5000 0.5000
5 B 0.0000 0.0000 0.0000

***

Version x
The following is a PBE-GGA calculation of a relaxed Al3ReB crystal, from Alexandria via LeMat-Bulk.

Cell: 4.7763 4.7763 4.7763 Å, 90.00 90.00 90.00°
Fractional coordinates of all 5 atoms:
1 Al 0.0000 0.0000 0.5000
2 Al 0.0000 0.5000 0.0000
3 Al 0.5000 0.0000 0.0000
4 Re 0.0000 0.0000 0.0000
5 B 0.5000 0.5000 0.5000

***

Energy above the most stable structure, in meV/atom: version w 0; version x 589